Compound: Nb2FeRe
Source: Alexandria via LeMat-Bulk
Functional: PBE
Structure: relaxed Values from VASP.

Properties
- ΔH_f (0 K) (eV/atom) = -0.146
- Fermi-level density of states (states/eV per cell) = 3.5
- electronic total energy (eV/atom) = -10.408

Geometry as Quantum ESPRESSO input:
```
&SYSTEM
  ibrav = 0, nat = 4, ntyp = 3
/
ATOMIC_SPECIES
Nb 92.91 Nb.upf
Fe 55.84 Fe.upf
Re 186.21 Re.upf
CELL_PARAMETERS angstrom
3.171 0.000 0.000
0.000 3.171 0.000
0.000 0.000 6.233
ATOMIC_POSITIONS crystal
Nb 0.000 0.000 0.244
Nb 0.000 0.000 0.756
Fe 0.500 0.500 0.000
Re 0.500 0.500 0.500
```

***

Compound: Li2ScAu3
Source: Alexandria via LeMat-Bulk
Functional: PBE
Structure: relaxed Values from VASP.

Properties
- ΔH_f (0 K) (eV/atom) = -0.635
- Fermi-level density of states (states/eV per cell) = 2.8
- electronic total energy (eV/atom) = -3.967

Geometry as Quantum ESPRESSO input:
```
&SYSTEM
  ibrav = 0, nat = 6, ntyp = 3
/
ATOMIC_SPECIES
Li 6.94 Li.upf
Sc 44.96 Sc.upf
Au 196.97 Au.upf
CELL_PARAMETERS angstrom
3.277 0.000 0.000
0.000 3.277 0.000
0.000 0.000 9.490
ATOMIC_POSITIONS crystal
Li 0.000 0.000 0.152
Li 0.000 0.000 0.848
Sc 0.000 0.000 0.500
Au 0.500 0.500 0.000
Au 0.500 0.500 0.317
Au 0.500 0.500 0.683
```

***

Compound: BaY3
Source: Alexandria via LeMat-Bulk
Functional: PBE
Structure: relaxed Values from VASP.

Properties
- ΔH_f (0 K) (eV/atom) = 0.370
- Fermi-level density of states (states/eV per cell) = 13.9
- electronic total energy (eV/atom) = -4.959

Geometry as Quantum ESPRESSO input:
```
&SYSTEM
  ibrav = 0, nat = 8, ntyp = 2
/
ATOMIC_SPECIES
Ba 137.33 Ba.upf
Y 88.91 Y.upf
CELL_PARAMETERS angstrom
6.663 0.000 0.000
0.000 6.663 0.000
0.000 0.000 6.663
ATOMIC_POSITIONS crystal
Ba 0.000 0.000 0.000
Ba 0.500 0.500 0.500
Y 0.000 0.250 0.500
Y 0.000 0.750 0.500
Y 0.250 0.500 0.000
Y 0.500 0.000 0.250
Y 0.500 0.000 0.750
Y 0.750 0.500 0.000
```

***

Compound: ScIr2Br
Source: Alexandria via LeMat-Bulk
Functional: PBE
Structure: relaxed Values from VASP.

Properties
- formation energy (no corrections) (eV per atom) = 0.157
- Fermi-level density of states (states/eV per cell) = 7.2
- electronic total energy (eV/atom) = -6.275

Geometry as Quantum ESPRESSO input:
```
&SYSTEM
  ibrav = 0, nat = 8, ntyp = 3
/
ATOMIC_SPECIES
Sc 44.96 Sc.upf
Ir 192.22 Ir.upf
Br 79.90 Br.upf
CELL_PARAMETERS angstrom
3.068 0.000 0.000
0.000 4.698 0.000
0.000 0.000 11.137
ATOMIC_POSITIONS crystal
Sc 0.000 0.000 0.000
Sc 0.500 0.500 0.000
Ir 0.000 0.500 0.189
Ir 0.000 0.500 0.811
Ir 0.500 0.000 0.189
Ir 0.500 0.000 0.811
Br 0.000 0.000 0.500
Br 0.500 0.500 0.500
```

***

Compound: Pm2AsCl
Source: Alexandria via LeMat-Bulk
Functional: PBE
Structure: relaxed Values from VASP.

Properties
- formation energy (no corrections) (eV per atom) = -1.336
- Fermi-level density of states (states/eV per cell) = 10.8
- electronic total energy (eV/atom) = -5.335

Geometry as Quantum ESPRESSO input:
```
&SYSTEM
  ibrav = 0, nat = 16, ntyp = 3
/
ATOMIC_SPECIES
Pm 145.00 Pm.upf
As 74.92 As.upf
Cl 35.45 Cl.upf
CELL_PARAMETERS angstrom
7.214 0.000 0.000
0.000 7.214 0.000
0.000 0.000 7.214
ATOMIC_POSITIONS crystal
Pm 0.250 0.250 0.250
Pm 0.250 0.250 0.750
Pm 0.250 0.750 0.250
Pm 0.250 0.750 0.750
Pm 0.750 0.250 0.250
Pm 0.750 0.250 0.750
Pm 0.750 0.750 0.250
Pm 0.750 0.750 0.750
As 0.000 0.000 0.000
As 0.000 0.500 0.500
As 0.500 0.000 0.500
As 0.500 0.500 0.000
Cl 0.000 0.000 0.500
Cl 0.000 0.500 0.000
Cl 0.500 0.000 0.000
Cl 0.500 0.500 0.500
```

***

Compound: InSb2H2Pt7
Source: Alexandria via LeMat-Bulk
Functional: PBE
Structure: relaxed Values from VASP.

Properties
- Fermi-level density of states (states/eV per cell) = 4.5
- electronic total energy (eV/atom) = -5.180

Geometry as Quantum ESPRESSO input:
```
&SYSTEM
  ibrav = 0, nat = 12, ntyp = 4
/
ATOMIC_SPECIES
In 114.82 In.upf
Sb 121.76 Sb.upf
H 1.01 H.upf
Pt 195.08 Pt.upf
CELL_PARAMETERS angstrom
2.848 -2.849 0.000
2.848 2.849 0.000
-2.826 0.000 11.456
ATOMIC_POSITIONS crystal
In 0.000 0.000 0.000
Sb 0.201 0.201 0.399
Sb 0.799 0.799 0.601
H 0.471 0.471 0.834
H 0.529 0.529 0.166
Pt 0.094 0.600 0.185
Pt 0.309 0.309 0.635
Pt 0.400 0.906 0.815
Pt 0.500 0.500 0.000
Pt 0.600 0.094 0.185
Pt 0.691 0.691 0.365
Pt 0.906 0.400 0.815
```

***

Compound: CuNiMo2
Source: Alexandria via LeMat-Bulk
Functional: PBE
Structure: relaxed Values from VASP.

Properties
- ΔH_f (0 K) (eV/atom) = 0.066
- Fermi-level density of states (states/eV per cell) = 2.1
- electronic total energy (eV/atom) = -7.819

Geometry as Quantum ESPRESSO input:
```
&SYSTEM
  ibrav = 0, nat = 4, ntyp = 3
/
ATOMIC_SPECIES
Cu 63.55 Cu.upf
Ni 58.69 Ni.upf
Mo 95.94 Mo.upf
CELL_PARAMETERS angstrom
2.592 0.000 0.000
0.000 4.269 0.000
-0.547 0.000 4.909
ATOMIC_POSITIONS crystal
Cu 0.000 0.000 0.000
Ni 0.984 0.500 0.736
Mo 0.386 0.000 0.522
Mo 0.592 0.500 0.216
```

***

Compound: Y2TiGe
Source: Alexandria via LeMat-Bulk
Functional: PBE
Structure: relaxed Values from VASP.

Properties
- ΔH_f (0 K) (eV/atom) = 0.146
- Fermi-level density of states (states/eV per cell) = 16.6
- electronic total energy (eV/atom) = -6.215

Geometry as Quantum ESPRESSO input:
```
&SYSTEM
  ibrav = 0, nat = 16, ntyp = 3
/
ATOMIC_SPECIES
Y 88.91 Y.upf
Ti 47.87 Ti.upf
Ge 72.64 Ge.upf
CELL_PARAMETERS angstrom
8.208 0.000 0.000
0.000 8.208 0.000
0.000 0.000 5.921
ATOMIC_POSITIONS crystal
Y 0.219 0.250 0.125
Y 0.250 0.719 0.375
Y 0.250 0.781 0.875
Y 0.281 0.250 0.625
Y 0.719 0.750 0.625
Y 0.750 0.219 0.875
Y 0.750 0.281 0.375
Y 0.781 0.750 0.125
Ti 0.000 0.000 0.500
Ti 0.000 0.500 0.750
Ti 0.500 0.000 0.250
Ti 0.500 0.500 0.000
Ge 0.000 0.000 0.000
Ge 0.000 0.500 0.250
Ge 0.500 0.000 0.750
Ge 0.500 0.500 0.500
```

***

Compound: NaLiCo2Cl8
Source: Alexandria via LeMat-Bulk
Functional: PBE
Structure: relaxed Values from VASP.

Properties
- formation energy (no corrections) (eV per atom) = -0.876
- Fermi-level density of states (states/eV per cell) = 11.7
- electronic total energy (eV/atom) = -3.561

Geometry as Quantum ESPRESSO input:
```
&SYSTEM
  ibrav = 0, nat = 12, ntyp = 4
/
ATOMIC_SPECIES
Na 22.99 Na.upf
Li 6.94 Li.upf
Co 58.93 Co.upf
Cl 35.45 Cl.upf
CELL_PARAMETERS angstrom
3.148 1.817 9.013
-3.148 1.817 9.013
0.000 -3.635 9.013
ATOMIC_POSITIONS crystal
Na 0.000 0.000 0.000
Li 0.500 0.500 0.500
Co 0.249 0.249 0.249
Co 0.751 0.751 0.751
Cl 0.105 0.778 0.442
Cl 0.222 0.558 0.895
Cl 0.329 0.329 0.329
Cl 0.442 0.105 0.778
Cl 0.558 0.895 0.222
Cl 0.671 0.671 0.671
Cl 0.778 0.442 0.105
Cl 0.895 0.222 0.558
```

***

Compound: Re2SiTe
Source: Alexandria via LeMat-Bulk
Functional: PBE
Structure: relaxed Values from VASP.

Properties
- formation energy (no corrections) (eV per atom) = 0.320
- Fermi-level density of states (states/eV per cell) = 1.4
- electronic total energy (eV/atom) = -8.046

Geometry as Quantum ESPRESSO input:
```
&SYSTEM
  ibrav = 0, nat = 4, ntyp = 3
/
ATOMIC_SPECIES
Re 186.21 Re.upf
Si 28.09 Si.upf
Te 127.60 Te.upf
CELL_PARAMETERS angstrom
3.106 0.000 0.000
0.000 4.542 0.000
0.000 0.000 4.606
ATOMIC_POSITIONS crystal
Re 0.000 0.000 0.000
Re 0.500 0.500 0.209
Si 0.000 0.500 0.761
Te 0.500 0.000 0.512
```

***

Compound: BeP2Br
Source: Alexandria via LeMat-Bulk
Functional: PBE
Structure: relaxed Values from VASP.

Properties
- formation energy (no corrections) (eV per atom) = -0.083
- Fermi-level density of states (states/eV per cell) = 1.2
- electronic total energy (eV/atom) = -4.137

Geometry as Quantum ESPRESSO input:
```
&SYSTEM
  ibrav = 0, nat = 8, ntyp = 3
/
ATOMIC_SPECIES
Be 9.01 Be.upf
P 30.97 P.upf
Br 79.90 Br.upf
CELL_PARAMETERS angstrom
6.235 0.000 0.000
0.000 3.235 0.000
-2.069 0.000 8.132
ATOMIC_POSITIONS crystal
Be 0.000 0.000 0.000
Be 0.500 0.500 0.000
P 0.126 0.500 0.203
P 0.374 0.000 0.349
P 0.626 0.000 0.203
P 0.874 0.500 0.349
Br 0.246 0.000 0.845
Br 0.746 0.500 0.845
```

***

Compound: Na3Bi2Pb4
Source: Alexandria via LeMat-Bulk
Functional: PBE
Structure: relaxed Values from VASP.

Properties
- ΔH_f (0 K) (eV/atom) = -0.132
- Fermi-level density of states (states/eV per cell) = 4.3
- electronic total energy (eV/atom) = -3.082

Geometry as Quantum ESPRESSO input:
```
&SYSTEM
  ibrav = 0, nat = 9, ntyp = 3
/
ATOMIC_SPECIES
Na 22.99 Na.upf
Bi 208.98 Bi.upf
Pb 207.20 Pb.upf
CELL_PARAMETERS angstrom
5.915 0.000 0.000
2.954 5.183 0.000
1.445 2.198 9.025
ATOMIC_POSITIONS crystal
Na 0.000 0.000 0.000
Na 0.369 0.494 0.343
Na 0.631 0.506 0.657
Bi 0.299 0.168 0.687
Bi 0.701 0.832 0.313
Pb 0.048 0.173 0.332
Pb 0.325 0.333 0.996
Pb 0.675 0.667 0.004
Pb 0.952 0.827 0.668
```

***

electronic total energy of number 1 (Nb2FeRe)?
-10.408 eV/atom